Compound: BaSr2F8
Source: the Alexandria database
Functional: PBE
Structure: optimized geometry

The structure in POSCAR format:
```
BaSr2F8
1.0
4.070 0.000 -1.235
-0.755 5.590 -2.485
0.059 -0.051 7.509
Sr F Ba
2 8 1
Direct
0.187 0.687 0.374 Sr
0.813 0.313 0.626 Sr
0.867 0.867 0.734 F
0.133 0.133 0.266 F
0.000 0.333 0.001 F
0.000 0.667 0.999 F
0.668 0.896 0.337 F
0.668 0.441 0.337 F
0.332 0.104 0.663 F
0.332 0.559 0.663 F
0.500 0.000 0.000 Ba
```

Properties
Energy relative to the elements, uncorrected (eV per atom): -3.146
Total magnetic moment (μB/cell): 2.1